Record 1
{
  "formula": "CdNiRh2",
  "functional": "PBE",
  "state": "optimized geometry",
  "vol_a3_per_cell": 59.8,
  "space_group": "R-3m (166)",
  "dos_at_fermi_per_ev_atom": 1.4547,
  "cell": [[-6.6489, -5.6316, 1.9564], [-5.8122, -6.7638, -0.4675], [-4.5219, -7.4570, 1.9225]],
  "species": ["Rh", "Rh", "Cd", "Ni"],
  "frac_coords": [[0.0071, 0.0071, 0.0071], [0.4929, 0.4929, 0.4929], [0.2500, 0.2500, 0.2500], [0.7500, 0.7500, 0.7500]]
}



Record 2
{
  "formula": "CdNi2Rh",
  "functional": "PBE",
  "state": "optimized geometry",
  "vol_a3_per_cell": 56.3,
  "space_group": "Pmmm (47)",
  "dos_at_fermi_per_ev_atom": 1.4105,
  "cell": [[3.6376, 0.0000, 0.0000], [0.0000, 2.7498, 0.0075], [0.0000, 2.7304, 5.6324]],
  "species": ["Ni", "Ni", "Cd", "Rh"],
  "frac_coords": [[0.0000, 0.9697, 0.0305], [0.0000, 0.5303, 0.4695], [0.5000, 0.7500, 0.7500], [0.5000, 0.2500, 0.2500]]
}



Record 3
{
  "formula": "CdNi2Rh",
  "functional": "PBE",
  "state": "optimized geometry",
  "vol_a3_per_cell": 56.3,
  "space_group": "P4mm (99)",
  "dos_at_fermi_per_ev_atom": 1.1787,
  "cell": [[2.9796, 0.0000, 0.0000], [0.0000, 2.9798, 0.0000], [0.0000, 0.0000, 6.3456]],
  "species": ["Ni", "Ni", "Cd", "Rh"],
  "frac_coords": [[0.5000, 0.5000, 0.2364], [0.0000, 0.0000, 0.0400], [0.5000, 0.5000, 0.7646], [0.0000, 0.0000, 0.4590]]
}



Record 4
{
  "formula": "CdNiRh4",
  "functional": "PBE",
  "state": "optimized geometry",
  "vol_a3_per_cell": 96.2,
  "space_group": "F-43m (216)",
  "dos_at_fermi_per_ev_atom": 2.0002,
  "cell": [[0.0000, 3.6362, 3.6362], [3.6362, 0.0000, 3.6362], [3.6362, 3.6362, 0.0000]],
  "species": ["Rh", "Rh", "Rh", "Rh", "Cd", "Ni"],
  "frac_coords": [[0.3747, 0.3747, 0.3747], [0.8759, 0.3747, 0.3747], [0.3747, 0.8759, 0.3747], [0.3747, 0.3747, 0.8759], [0.7500, 0.7500, 0.7500], [0.0000, 0.0000, 0.0000]]
}



Record 5
{
  "formula": "CdNi2Rh",
  "functional": "PBE",
  "state": "optimized geometry",
  "vol_a3_per_cell": 56.6,
  "space_group": "R3m (160)",
  "dos_at_fermi_per_ev_atom": 1.3355,
  "cell": [[8.7424, 0.0178, 0.0104], [8.3023, 2.7391, 0.0104], [8.3023, 1.3428, 2.3874]],
  "species": ["Ni", "Ni", "Cd", "Rh"],
  "frac_coords": [[0.2527, 0.2527, 0.2527], [0.9926, 0.9926, 0.9926], [0.7471, 0.7471, 0.7471], [0.5075, 0.5075, 0.5075]]
}



Record 6
{
  "formula": "CdNiRh2",
  "functional": "PBE",
  "state": "optimized geometry",
  "vol_a3_per_cell": 59.8,
  "space_group": "Imm2 (44)",
  "dos_at_fermi_per_ev_atom": 1.6865,
  "cell": [[-1.5369, 4.8594, 1.2950], [-3.1613, 0.5767, 4.1625], [4.6496, -1.5870, -1.8749]],
  "species": ["Cd", "Rh", "Rh", "Ni"],
  "frac_coords": [[0.4895, 0.4895, 0.0000], [0.0106, 0.0106, 0.0000], [0.7607, 0.2607, 0.5000], [0.2392, 0.7392, 0.5000]]
}



Record 7
{
  "formula": "CdNi2Rh",
  "functional": "PBE",
  "state": "optimized geometry",
  "vol_a3_per_cell": 56.1,
  "space_group": "I-4m2 (119)",
  "dos_at_fermi_per_ev_atom": 1.1955,
  "cell": [[4.6878, 0.0006, 0.0000], [1.5589, 4.4210, 0.0000], [-3.1233, -2.2108, 2.7078]],
  "species": ["Cd", "Rh", "Ni", "Ni"],
  "frac_coords": [[0.7500, 0.2500, 0.5000], [0.5000, 0.5000, 0.0000], [0.0000, 0.0000, 0.0000], [0.2500, 0.7500, 0.5000]]
}



Record 8
{
  "formula": "CdNiRh2",
  "functional": "PBE",
  "state": "optimized geometry",
  "vol_a3_per_cell": 59.3,
  "space_group": "C2/m (12)",
  "dos_at_fermi_per_ev_atom": 1.2261,
  "cell": [[4.7660, 0.0025, 0.0106], [3.9506, 2.6661, 0.0106], [0.9444, 0.2891, 4.6690]],
  "species": ["Rh", "Rh", "Cd", "Ni"],
  "frac_coords": [[0.0114, 0.0114, 0.9790], [0.4886, 0.4886, 0.5210], [0.2500, 0.2500, 0.2500], [0.7500, 0.7500, 0.7500]]
}



Record 9
{
  "formula": "CdNi2Rh",
  "functional": "PBE",
  "state": "optimized geometry",
  "vol_a3_per_cell": 57.1,
  "space_group": "C2/m (12)",
  "dos_at_fermi_per_ev_atom": 1.4937,
  "cell": [[-0.9144, -2.7992, 3.4804], [-1.7739, -4.0408, 1.1446], [3.9841, -2.6899, -0.0361]],
  "species": ["Cd", "Ni", "Ni", "Rh"],
  "frac_coords": [[0.7500, 0.7500, 0.7500], [0.9936, 0.9936, 0.0344], [0.5064, 0.5064, 0.4656], [0.2500, 0.2500, 0.2500]]
}



Record 10
{
  "formula": "CdNiRh",
  "functional": "PBE",
  "state": "optimized geometry",
  "vol_a3_per_cell": 51.2,
  "de_polymorph_kj_per_mol_atoms": 25.5,
  "space_group": "F-43m (216)",
  "dos_at_fermi_per_ev_atom": 1.5503,
  "cell": [[4.1685, 0.0000, 0.0000], [2.0842, 3.6100, 0.0000], [2.0842, 1.2033, 3.4035]],
  "species": ["Cd", "Ni", "Rh"],
  "frac_coords": [[0.5000, 0.5000, 0.5000], [0.7500, 0.7500, 0.7500], [0.0000, 0.0000, 0.0000]]
}



Record 11
{
  "formula": "CdNi4Rh",
  "functional": "PBE",
  "state": "optimized geometry",
  "vol_a3_per_cell": 77.5,
  "space_group": "F-43m (216)",
  "dos_at_fermi_per_ev_atom": 1.9456,
  "cell": [[0.0000, 3.3841, 3.3841], [3.3841, 0.0000, 3.3841], [3.3841, 3.3841, 0.0000]],
  "species": ["Rh", "Ni", "Ni", "Ni", "Ni", "Cd"],
  "frac_coords": [[0.7500, 0.7500, 0.7500], [0.3755, 0.8736, 0.3755], [0.3755, 0.3755, 0.8736], [0.8736, 0.3755, 0.3755], [0.3755, 0.3755, 0.3755], [0.0000, 0.0000, 0.0000]]
}



Record 12
{
  "formula": "CdNiRh2",
  "functional": "PBE",
  "state": "optimized geometry",
  "vol_a3_per_cell": 59.6,
  "space_group": "Cm (8)",
  "dos_at_fermi_per_ev_atom": 1.2566,
  "cell": [[3.5380, -1.6405, 2.6520], [3.8488, 1.1389, 2.4762], [-1.9262, 0.4921, 4.3748]],
  "species": ["Cd", "Rh", "Rh", "Ni"],
  "frac_coords": [[0.4974, 0.4974, 0.5149], [0.2570, 0.2570, 0.2133], [0.0023, 0.0023, 0.0092], [0.7433, 0.7433, 0.7626]]
}



Record 13
{
  "formula": "CdNiRh2",
  "functional": "PBE",
  "state": "optimized geometry",
  "vol_a3_per_cell": 59.5,
  "space_group": "Cmmm (65)",
  "dos_at_fermi_per_ev_atom": 1.5652,
  "cell": [[-4.1336, -0.5028, 2.2881], [-0.2614, -2.1670, -4.2203], [0.9283, -2.3656, 1.1572]],
  "species": ["Rh", "Rh", "Ni", "Cd"],
  "frac_coords": [[0.0000, 0.0000, 0.0000], [0.5000, 0.5000, 0.0000], [0.0000, 0.5000, 0.5000], [0.5000, 0.0000, 0.5000]]
}



Record 14
{
  "formula": "CdNi2Rh",
  "functional": "PBE",
  "state": "optimized geometry",
  "vol_a3_per_cell": 55.8,
  "space_group": "Cm (8)",
  "dos_at_fermi_per_ev_atom": 1.1191,
  "cell": [[4.7014, 0.0008, 0.0442], [3.8810, 2.6534, 0.0442], [0.9858, 0.3049, 4.4832]],
  "species": ["Ni", "Ni", "Cd", "Rh"],
  "frac_coords": [[0.2556, 0.2556, 0.2614], [0.9882, 0.9882, 0.0069], [0.7452, 0.7452, 0.7695], [0.5109, 0.5109, 0.4622]]
}



Record 15
{
  "formula": "CdNi2Rh",
  "functional": "PBE",
  "state": "optimized geometry",
  "vol_a3_per_cell": 55.7,
  "space_group": "Imm2 (44)",
  "dos_at_fermi_per_ev_atom": 1.6451,
  "cell": [[-4.8980, -0.8877, 1.3806], [-0.9684, -3.5617, 3.6140], [2.2811, 4.4558, -1.2757]],
  "species": ["Ni", "Ni", "Cd", "Rh"],
  "frac_coords": [[0.2400, 0.7400, 0.5000], [0.0188, 0.0188, 0.0000], [0.7587, 0.2587, 0.5000], [0.4825, 0.4825, 0.0000]]
}



Record 16
{
  "formula": "CdNi3Rh",
  "functional": "PBE",
  "state": "optimized geometry",
  "vol_a3_per_cell": 93.8,
  "de_polymorph_kj_per_mol_atoms": 0.0,
  "space_group": "Pm-3m (221)",
  "dos_at_fermi_per_ev_atom": 1.1113,
  "cell": [[-1.4118, -4.2833, 0.5566], [3.4413, -1.4693, -2.5784], [2.6103, -0.3796, 3.7002]],
  "species": ["Ni", "Ni", "Ni", "Rh", "Cd"],
  "frac_coords": [[0.0000, 0.5000, 0.0000], [0.0000, 0.0000, 0.5000], [0.5000, 0.0000, 0.0000], [0.0000, 0.0000, 0.0000], [0.5000, 0.5000, 0.5000]]
}



Record 17
{
  "formula": "CdNiRh2",
  "functional": "PBE",
  "state": "optimized geometry",
  "vol_a3_per_cell": 59.1,
  "space_group": "I-4m2 (119)",
  "dos_at_fermi_per_ev_atom": 1.2706,
  "cell": [[-1.8476, -3.1508, 3.0668], [-0.2440, -4.2846, -2.0806], [3.5752, 3.1279, 0.4248]],
  "species": ["Cd", "Rh", "Rh", "Ni"],
  "frac_coords": [[0.5000, 0.5000, 0.0000], [0.0000, 0.0000, 0.0000], [0.2500, 0.7500, 0.5000], [0.7500, 0.2500, 0.5000]]
}



Record 18
{
  "formula": "CdNi2Rh",
  "functional": "PBE",
  "state": "optimized geometry",
  "vol_a3_per_cell": 125.6,
  "space_group": "I-42d (122)",
  "dos_at_fermi_per_ev_atom": 1.5994,
  "cell": [[3.7809, 0.0000, 0.0000], [0.0000, 3.7809, 0.0000], [1.8905, 1.8905, 8.7846]],
  "species": ["Rh", "Rh", "Ni", "Ni", "Ni", "Ni", "Cd", "Cd"],
  "frac_coords": [[0.5000, 0.5000, 0.0000], [0.2500, 0.7500, 0.5000], [0.1674, 0.6250, 0.2500], [0.8750, 0.8326, 0.7500], [0.3750, 0.4174, 0.7500], [0.5826, 0.1250, 0.2500], [0.7500, 0.2500, 0.5000], [0.0000, 0.0000, 0.0000]]
}



Record 19
{
  "formula": "CdNiRh2",
  "functional": "PBE",
  "state": "optimized geometry",
  "vol_a3_per_cell": 131.2,
  "space_group": "I-42d (122)",
  "dos_at_fermi_per_ev_atom": 1.5780,
  "cell": [[-6.3617, -1.4864, -2.8162], [3.1268, -4.1077, -4.8951], [-1.8373, -4.8428, -2.2794]],
  "species": ["Rh", "Rh", "Rh", "Rh", "Cd", "Cd", "Ni", "Ni"],
  "frac_coords": [[0.8750, 0.8301, 0.7500], [0.1699, 0.6250, 0.2500], [0.5801, 0.1250, 0.2500], [0.3750, 0.4199, 0.7500], [0.7500, 0.2500, 0.5000], [0.0000, 0.0000, 0.0000], [0.5000, 0.5000, 0.0000], [0.2500, 0.7500, 0.5000]]
}



Record 20
{
  "formula": "CdNiRh",
  "functional": "PBE",
  "state": "optimized geometry",
  "vol_a3_per_cell": 45.1,
  "de_polymorph_kj_per_mol_atoms": 1.2,
  "space_group": "I4mm (107)",
  "dos_at_fermi_per_ev_atom": 1.0955,
  "cell": [[5.8924, -0.0050, 0.0054], [5.2028, 2.7662, 0.0008], [0.6896, 0.1763, 2.7656]],
  "species": ["Rh", "Cd", "Ni"],
  "frac_coords": [[0.6826, 0.6827, 0.3174], [0.9956, 0.9956, 0.0044], [0.3218, 0.3217, 0.6782]]
}



| no. | energy (eV/f.u.) | energy relative to the elements (kJ/mol of atoms) |
| --- | --- | --- |
| 1 | -20.96 | 10.7 |
| 2 | -19.53 | 7.2 |
| 3 | -19.54 | 7.0 |
| 4 | -34.08 | 32.4 |
| 5 | -19.13 | 16.9 |
| 6 | -20.80 | 14.4 |
| 7 | -19.36 | 11.4 |
| 8 | -21.17 | 5.5 |
| 9 | -19.32 | 12.4 |
| 10 | -13.16 | 28.6 |
| 11 | -30.95 | 7.2 |
| 12 | -21.09 | 7.4 |
| 13 | -20.80 | 14.4 |
| 14 | -19.47 | 8.7 |
| 15 | -19.36 | 11.3 |
| 16 | -20.56 | 97.4 |
| 17 | -21.06 | 8.2 |
| 18 | -17.97 | 44.8 |
| 19 | -19.73 | 40.4 |
| 20 | -13.91 | 4.3 |